Y5HoS6: optimized geometry, PBE.

a b c (Å): 6.768 6.776 6.787
angles (deg): 60.06 80.34 70.35
Fractional positions:
Y (0.500, 0.168, 0.664)
Y (0.000, 0.333, 0.334)
Y (0.500, 0.500, 0.000)
Y (0.000, 0.667, 0.666)
Y (0.500, 0.832, 0.336)
S (0.751, 0.083, 0.331)
S (0.249, 0.586, 0.331)
S (0.249, 0.248, 0.000)
S (0.751, 0.752, 0.000)
S (0.751, 0.414, 0.669)
S (0.249, 0.917, 0.669)
Ho (0.000, 0.000, 0.000)

Properties
Uncorrected formation energy in meV per atom: -1995.7
Calculated density in Mg/m³: 5.24
Crystal system: monoclinic
Total magnetization in μB per cell: 0.000
Density of states at the Fermi level in states/eV/f.u.: 4.46